1.
The following is a DFT calculation (PBE) of SbN after structural relaxation.

**E_form (uncorrected)**: 0.35 eV per atom
**DOS(E_F)**: 0.0 states/eV/f.u.
**Distance to the lowest polymorph of the same formula**: 0.000 eV/atom
**V**: 21.814 Å³/atom
**SG**: Pca2_1 (29)

Lattice parameters (Å, degrees): 5.1575 5.5768 6.0675 90.00 90.00 90.00
Element x y z (fractional)
Sb: 0.1736 0.0439 0.1943
Sb: 0.6736 0.4561 0.1943
Sb: 0.1736 0.5439 0.8057
Sb: 0.6736 0.9561 0.8057
N: 0.0595 0.8906 0.8924
N: 0.5595 0.6094 0.8924
N: 0.5595 0.1094 0.1076
N: 0.0595 0.3906 0.1076

***

2.
The following is a DFT calculation (PBE) of Pm2Pr2Hg3 after structural relaxation.

**DOS(E_F)**: 9.5 states/eV/f.u.
**V**: 30.872 Å³/atom
**SG**: P-1 (2)
**Formation energy**: -0.3139 eV/atom

Lattice parameters (Å, degrees): 5.3892 5.3915 9.1378 89.98 107.29 119.95
Element x y z (fractional)
Hg: 0.5013 0.7509 0.2512
Hg: 0.0000 0.0000 0.0000
Hg: 0.4987 0.2491 0.7488
Pr: 0.2388 0.6192 0.8586
Pr: 0.7612 0.3808 0.1414
Pm: 0.2560 0.1282 0.3829
Pm: 0.7440 0.8718 0.6171

***

3.
The following is a DFT calculation (PBE) of NaIn2Pb8 after structural relaxation.

**DOS(E_F)**: 4.7 states/eV/f.u.
**Distance to the lowest polymorph of the same formula**: 0.000 eV/atom
**V**: 30.333 Å³/atom
**SG**: C2/m (12)
**Formation energy**: -0.0261 eV/atom

Lattice parameters (Å, degrees): 4.8903 7.8755 9.3087 104.75 105.23 90.00
Element x y z (fractional)
Pb: 0.1398 0.1798 0.2795
Pb: 0.4066 0.5400 0.8133
Pb: 0.6826 0.9088 0.3651
Pb: 0.8602 0.8202 0.7205
Pb: 0.9547 0.2737 0.9093
Pb: 0.3174 0.0912 0.6349
Pb: 0.0453 0.7263 0.0907
Pb: 0.5934 0.4600 0.1867
In: 0.2285 0.6294 0.4570
In: 0.7715 0.3706 0.5430
Na: 0.5000 0.0000 0.0000

***

4.
The following is a DFT calculation (PBE) of KZrHg3 after structural relaxation.

**DOS(E_F)**: 5.2 states/eV/f.u.
**Distance to the lowest polymorph of the same formula**: 0.820 eV/atom
**V**: 37.432 Å³/atom
**SG**: Pm-3m (221)
**Formation energy**: 0.9938 eV/atom

Lattice parameters (Å, degrees): 5.7201 5.7201 5.7201 90.00 90.00 90.00
Element x y z (fractional)
Hg: 0.0000 0.0000 0.5000
Hg: 0.5000 0.0000 0.0000
Hg: 0.0000 0.5000 0.0000
Zr: 0.5000 0.5000 0.5000
K: 0.0000 0.0000 0.0000

***

Q: Among the records above, which one has the highest V?
A: KZrHg3

***

Repeat the second record exactly.
The following is a DFT calculation (PBE) of Pm2Pr2Hg3 after structural relaxation.

**DOS(E_F)**: 9.5 states/eV/f.u.
**V**: 30.872 Å³/atom
**SG**: P-1 (2)
**Formation energy**: -0.3139 eV/atom

Lattice parameters (Å, degrees): 5.3892 5.3915 9.1378 89.98 107.29 119.95
Element x y z (fractional)
Hg: 0.5013 0.7509 0.2512
Hg: 0.0000 0.0000 0.0000
Hg: 0.4987 0.2491 0.7488
Pr: 0.2388 0.6192 0.8586
Pr: 0.7612 0.3808 0.1414
Pm: 0.2560 0.1282 0.3829
Pm: 0.7440 0.8718 0.6171